Record 1
Density functional theory data (PBE) for an optimized crystal structure of CdHRh2.

Structure (CIF):
```
data_CdHRh2
_chemical_formula_sum 'Cd1 H1 Rh2'
_cell_length_a 2.781
_cell_length_b 2.781
_cell_length_c 6.744
_cell_angle_alpha 90.00
_cell_angle_beta 90.00
_cell_angle_gamma 90.00
_space_group_name_H-M_alt 'P 4/m m m'
_space_group_IT_number 123
_space_group_name_Hall '-P 4 2'
loop_
_atom_site_label
_atom_site_fract_x
_atom_site_fract_y
_atom_site_fract_z
_atom_site_occupancy
Cd1 0.000 0.000 0.000 1
H1 0.000 0.000 0.500 1
Rh1 0.500 0.500 0.316 1
```

Summary:
Distance to the lowest polymorph of the same formula, eV per atom: 0.326

Record 2
Density functional theory data (PBE) for an optimized crystal structure of Tb2Pr4SmDy2.

Structure (CIF):
```
data_Tb2Pr4SmDy2
_chemical_formula_sum 'Tb4 Pr8 Sm2 Dy4'
_cell_length_a 15.432
_cell_length_b 5.134
_cell_length_c 8.111
_cell_angle_alpha 90.00
_cell_angle_beta 108.41
_cell_angle_gamma 90.00
_space_group_name_H-M_alt 'C 1 2/m 1'
_space_group_IT_number 12
loop_
_space_group_symop_operation_xyz
'x,y,z'
'-x,-y,-z'
'-x,y,-z'
'x,-y,z'
'x+1/2,y+1/2,z'
'-x+1/2,-y+1/2,-z'
'-x+1/2,y+1/2,-z'
'x+1/2,-y+1/2,z'
loop_
_atom_site_label
_atom_site_fract_x
_atom_site_fract_y
_atom_site_fract_z
_atom_site_occupancy
Tb1 0.111 0.000 0.169 1
Pr1 0.054 0.500 0.831 1
Pr2 0.223 0.000 0.831 1
Sm1 0.000 0.000 0.500 1
Dy1 0.168 0.500 0.499 1
```

Summary:
Calculated formation energy, eV per atom: 0.018

Record 3
Density functional theory data (PBE) for an optimized crystal structure of P2IrSF.

Structure (CIF):
```
data_P2IrSF
_chemical_formula_sum 'P2 Ir1 S1 F1'
_cell_length_a 4.022
_cell_length_b 4.022
_cell_length_c 4.706
_cell_angle_alpha 90.00
_cell_angle_beta 90.00
_cell_angle_gamma 90.00
_space_group_name_H-M_alt 'P 4/m m m'
_space_group_IT_number 123
_space_group_name_Hall '-P 4 2'
loop_
_atom_site_label
_atom_site_fract_x
_atom_site_fract_y
_atom_site_fract_z
_atom_site_occupancy
P1 0.000 0.500 0.000 1
Ir1 0.000 0.000 0.500 1
S1 0.500 0.500 0.500 1
F1 0.500 0.500 0.000 1
```

Summary:
Energy relative to the elements, uncorrected, meV per atom: 1011.3
Distance to the lowest polymorph of the same formula, eV per atom: 0.479

Record 4
Density functional theory data (PBE) for an optimized crystal structure of Ac2Nd15Y2.

Structure (CIF):
```
data_Ac2Nd15Y2
_chemical_formula_sum 'Ac6 Nd45 Y6'
_cell_length_a 11.6413
_cell_length_b 11.6413
_cell_length_c 18.0598
_cell_angle_alpha 90.00
_cell_angle_beta 90.00
_cell_angle_gamma 120.00
_space_group_name_H-M_alt 'R -3 m'
_space_group_IT_number 166
_space_group_name_Hall '-R 3 2"'
loop_
_atom_site_label
_atom_site_fract_x
_atom_site_fract_y
_atom_site_fract_z
_atom_site_occupancy
Ac1 0.0000 0.0000 0.1722 1
Nd1 0.0000 0.2928 0.5000 1
Nd2 0.0000 0.5000 0.0000 1
Nd3 0.0118 0.5059 0.6391 1
Y1 0.0000 0.0000 0.4054 1
```

Summary:
Calculated formation energy, eV per atom: 0.209